The following is a DFT calculation (PBE) of Al2PAu after structural relaxation.

extended XYZ file:
```
4
Lattice="2.955 0.000 0.000 0.000 2.955 0.000 0.000 0.000 7.626" Properties=species:S:1:pos:R:3 pbc="T T T"
Al 0.000 0.000 0.000
Al 1.478 1.478 1.983
P 1.478 1.478 6.032
Au 0.000 0.000 3.772
```

Output
**Formation enthalpy at 0 K**: 0.0856 eV/atom
**Crystal system**: tetragonal
**E_tot**: -3.957 eV/atom
**Space group**: P4mm